(1)
Computed, not measured: a geometry-optimized KSrBe2Sb structure at the PBE-GGA level of DFT.

Values from the calculation:
**M_tot**: 0.00 μB/atom
**Electronic total energy**: -9.03 eV/cell
**E_form (uncorrected)**: 1065 meV/atom
**Crystal system**: tetragonal

Lattice parameters (Å, degrees): 5.8723 5.8723 6.1323 90.00 90.00 90.00
Closest atoms and distances in Å follow each position.
Space group P4/mmm (No. 123)
Inequivalent atoms, fractional coordinates:
K: 0.0000 0.0000 0.0000 (multiplicity 1)  4 Sb 4.15, 8 Be 4.25
Sr: 0.5000 0.5000 0.5000 (multiplicity 1)  4 Be 2.94, 2 Sb 3.07
Be: 0.0000 0.5000 0.5000 (multiplicity 2)  2 Sr 2.94
Sb: 0.5000 0.5000 0.0000 (multiplicity 1)  2 Sr 3.07

(2)
Computed, not measured: a geometry-optimized Sc6SnHg5 structure at the PBE-GGA level of DFT.

Values from the calculation:
**Formation energy**: -5.5 eV per formula unit
**M_tot**: 0.11 μB/atom
**Electronic total energy**: -97.93 eV/cell
**Crystal system**: monoclinic

Lattice parameters (Å, degrees): 15.8682 6.9853 5.0130 90.00 108.27 90.00
Closest atoms and distances in Å follow each position.
Space group C2/m (No. 12)
Inequivalent atoms, fractional coordinates:
Sc: 0.0000 0.2494 0.0000 (multiplicity 4)  6 Hg 3.05-3.13, 2 Sn 3.06
Sc: 0.1671 0.2500 0.6673 (multiplicity 8)  7 Hg 2.99-3.06, 1 Sn 3.06
Sn: 0.0000 0.5000 0.5000 (multiplicity 2)  8 Sc 3.06
Hg: 0.0000 0.0000 0.5000 (multiplicity 2)  8 Sc 3.05-3.06
Hg: 0.1662 0.0000 0.1664 (multiplicity 4)  8 Sc 3.05-3.06
Hg: 0.1719 0.5000 0.1719 (multiplicity 4)  8 Sc 2.99-3.13

(3)
Computed, not measured: a geometry-optimized H2RuBr4 structure at the PBE-GGA level of DFT.

Values from the calculation:
**M_tot**: 0.00 μB/atom
**Electronic total energy**: -23.56 eV/cell
**Crystal system**: triclinic

Lattice parameters (Å, degrees): 3.8509 6.3395 6.8876 94.70 92.09 99.19
Closest atoms and distances in Å follow each position.
Space group P-1 (No. 2)
Inequivalent atoms, fractional coordinates:
H: 0.2256 0.4995 0.3065 (multiplicity 2)  1 Br 1.52
Ru: 0.5000 0.0000 0.5000 (multiplicity 1)  6 Br 2.53-2.55
Br: 0.0332 0.1684 0.3236 (multiplicity 2)  1 H 2.13
Br: 0.4197 0.7002 0.2283 (multiplicity 2)  1 H 1.52

(4)
Computed, not measured: a geometry-optimized ZnCdO2 structure at the PBE-GGA level of DFT.

Values from the calculation:
**M_tot**: 0.00 μB/atom
**Electronic total energy**: -33.49 eV/cell
**E_form (uncorrected)**: -1160 meV/atom
**Crystal system**: triclinic

Lattice parameters (Å, degrees): 3.2079 5.4010 6.5217 89.96 75.90 89.98
Closest atoms and distances in Å follow each position.
Space group P1 (No. 1)
Inequivalent atoms, fractional coordinates:
Zn: 0.0000 0.0000 0.0000 (multiplicity 1)  4 O 1.99-2.04
Zn: 0.2651 0.0487 0.4701 (multiplicity 1)  4 O 1.92-2.09
Cd: 0.3923 0.4836 0.2172 (multiplicity 1)  5 O 2.24-2.41
Cd: 0.6305 0.5397 0.7381 (multiplicity 1)  5 O 2.24-2.36
O: 0.0154 0.3667 0.9696 (multiplicity 1)  1 Zn 1.99
O: 0.1417 0.8385 0.7157 (multiplicity 1)  2 Zn 1.92-2.00
O: 0.4116 0.8953 0.1787 (multiplicity 1)  3 Zn 2.02-2.04, 1 Cd 2.24
O: 0.7743 0.2964 0.4516 (multiplicity 1)  2 Zn 2.09, 1 Cd 2.24

(5)
Computed, not measured: a geometry-optimized Dy6InAg5 structure at the PBE-GGA level of DFT.

Values from the calculation:
**Formation energy**: -4.1 eV per formula unit
**M_tot**: 0.00 μB/atom
**Electronic total energy**: -97.46 eV/cell
**Crystal system**: orthorhombic

Lattice parameters (Å, degrees): 5.1551 15.4597 7.3838 90.00 90.00 90.00
Closest atoms and distances in Å follow each position.
Space group Cmmm (No. 65)
Inequivalent atoms, fractional coordinates:
Dy: 0.0000 0.0000 0.2415 (multiplicity 4)  6 Ag 3.13-3.14, 2 In 3.21
Dy: 0.0000 0.3307 0.2472 (multiplicity 8)  7 Ag 3.13-3.22, 1 In 3.21
In: 0.0000 0.5000 0.5000 (multiplicity 2)  8 Dy 3.21, 4 Ag 3.59
Ag: 0.0000 0.1613 0.5000 (multiplicity 4)  8 Dy 3.14-3.22
Ag: 0.0000 0.1666 0.0000 (multiplicity 4)  8 Dy 3.13-3.16
Ag: 0.0000 0.5000 0.0000 (multiplicity 2)  8 Dy 3.13-3.19

(6)
Computed, not measured: a geometry-optimized CaBe2Re structure at the PBE-GGA level of DFT.

Values from the calculation:
**Formation energy**: 3.0 eV per formula unit
**M_tot**: 0.00 μB/atom
**Electronic total energy**: -75.46 eV/cell
**Crystal system**: tetragonal
**Offset from the most stable computed form**: 0.470 eV/atom

Lattice parameters (Å, degrees): 4.3327 4.3327 15.8871 90.00 90.00 90.00
Closest atoms and distances in Å follow each position.
Space group I-42d (No. 122)
Inequivalent atoms, fractional coordinates:
Ca: 0.0000 0.0000 0.0000 (multiplicity 4)  8 Be 3.04-3.22, 4 Re 3.06
Be: 0.0304 0.2500 0.6250 (multiplicity 8)  2 Be 2.18, 2 Re 2.27
Re: 0.0000 0.0000 0.5000 (multiplicity 4)  4 Be 2.27

(7)
Computed, not measured: a geometry-optimized Sm6AlCu2 structure at the PBE-GGA level of DFT.

Values from the calculation:
**Formation energy**: -1.4 eV per formula unit
**M_tot**: 0.00 μB/atom
**Electronic total energy**: -166.57 eV/cell
**Crystal system**: orthorhombic

Lattice parameters (Å, degrees): 9.5492 10.0414 10.2783 90.00 90.00 90.00
Closest atoms and distances in Å follow each position.
Space group Immm (No. 71)
Inequivalent atoms, fractional coordinates:
Sm: 0.0000 0.1933 0.2414 (multiplicity 8)  1 Cu 2.92, 1 Al 3.15
Sm: 0.1999 0.5000 0.1765 (multiplicity 8)  3 Cu 2.84-3.05
Sm: 0.2241 0.3186 0.5000 (multiplicity 8)  3 Cu 3.07-3.11, 1 Al 3.20
Al: 0.0000 0.0000 0.0000 (multiplicity 2)  8 Sm 3.15-3.20, 2 Cu 3.48
Al: 0.0000 0.0000 0.5000 (multiplicity 2)  8 Sm 3.29-3.39
Cu: 0.0000 0.3464 0.0000 (multiplicity 4)  8 Sm 2.92-3.11, 1 Cu 3.09
Cu: 0.0000 0.5000 0.3808 (multiplicity 4)  1 Cu 2.45

(8)
Computed, not measured: a geometry-optimized Al2GaNi8 structure at the PBE-GGA level of DFT.

Values from the calculation:
**Formation energy**: -2.1 eV per formula unit
**M_tot**: 0.00 μB/atom
**Electronic total energy**: -117.71 eV/cell
**Crystal system**: monoclinic
**Offset from the most stable computed form**: 0.102 eV/atom

Lattice parameters (Å, degrees): 6.3509 11.2584 4.2415 90.00 118.55 90.00
Closest atoms and distances in Å follow each position.
Space group C2/m (No. 12)
Inequivalent atoms, fractional coordinates:
Al: 0.0000 0.1964 0.0000 (multiplicity 4)  8 Ni 2.36-2.49
Ga: 0.0000 0.5000 0.5000 (multiplicity 2)  4 Ni 2.30-2.36
Ni: 0.0000 0.2907 0.5000 (multiplicity 4)  1 Ga 2.36, 2 Al 2.37, 2 Ni 2.63
Ni: 0.0937 0.0000 0.3080 (multiplicity 4)  6 Ni 2.30-2.49, 1 Ga 2.30, 2 Al 2.49
Ni: 0.2154 0.3890 0.1402 (multiplicity 8)  2 Al 2.36-2.48, 5 Ni 2.41-2.63

(9)
Computed, not measured: a geometry-optimized Rb2OsRh2 structure at the PBE-GGA level of DFT.

Values from the calculation:
**Formation energy**: 6.9 eV per formula unit
**M_tot**: 0.43 μB/atom
**Electronic total energy**: -41.99 eV/cell
**Crystal system**: tetragonal
**Offset from the most stable computed form**: 0.000 eV/atom

Lattice parameters (Å, degrees): 3.4527 3.4527 22.8716 90.00 90.00 90.00
Closest atoms and distances in Å follow each position.
Space group I4/mmm (No. 139)
Inequivalent atoms, fractional coordinates:
Rb: 0.0000 0.0000 0.1130 (multiplicity 4)  4 Rb 3.45, 4 Os 3.56, 4 Rh 3.58
Os: 0.0000 0.0000 0.5000 (multiplicity 2)  4 Os 3.45, 8 Rb 3.56
Rh: 0.0000 0.5000 0.2500 (multiplicity 4)  4 Rh 2.44

(10)
Computed, not measured: a geometry-optimized ZrIn3I structure at the PBE-GGA level of DFT.

Values from the calculation:
**M_tot**: 0.75 μB/atom
**Electronic total energy**: -16.04 eV/cell
**E_form (uncorrected)**: 455 meV/atom
**Crystal system**: cubic
**Offset from the most stable computed form**: 0.000 eV/atom

Lattice parameters (Å, degrees): 5.8234 5.8234 5.8234 90.00 90.00 90.00
Closest atoms and distances in Å follow each position.
Space group Pm-3m (No. 221)
Inequivalent atoms, fractional coordinates:
Zr: 0.0000 0.0000 0.0000 (multiplicity 1)  6 In 2.91
In: 0.0000 0.0000 0.5000 (multiplicity 3)  2 Zr 2.91
I: 0.5000 0.5000 0.5000 (multiplicity 1)  12 In 4.12

(11)
Computed, not measured: a geometry-optimized SiTe2IrN structure at the PBE-GGA level of DFT.

Values from the calculation:
**M_tot**: 0.00 μB/atom
**Electronic total energy**: -26.13 eV/cell
**E_form (uncorrected)**: 553 meV/atom
**Crystal system**: tetragonal
**Offset from the most stable computed form**: 0.022 eV/atom

Lattice parameters (Å, degrees): 5.3147 5.3147 3.2543 90.00 90.00 90.00
Closest atoms and distances in Å follow each position.
Space group P4/mmm (No. 123)
Inequivalent atoms, fractional coordinates:
Si: 0.0000 0.0000 0.0000 (multiplicity 1)  2 N 1.63
Te: 0.0000 0.5000 0.0000 (multiplicity 2)  2 Si 2.66
Ir: 0.5000 0.5000 0.5000 (multiplicity 1)  8 Te 3.12, 2 Ir 3.25
N: 0.0000 0.0000 0.5000 (multiplicity 1)  2 Si 1.63

(12)
Computed, not measured: a geometry-optimized KRb2PmCl6 structure at the PBE-GGA level of DFT.

Values from the calculation:
**M_tot**: 0.00 μB/atom
**Electronic total energy**: -80.42 eV/cell
**E_form (uncorrected)**: -2135 meV/atom
**Crystal system**: monoclinic

Lattice parameters (Å, degrees): 7.7829 8.1632 13.4628 90.00 124.45 90.00
Closest atoms and distances in Å follow each position.
Space group P2_1/c (No. 14)
Inequivalent atoms, fractional coordinates:
K: 0.0000 0.0000 0.0000 (multiplicity 2)  6 Cl 3.13-3.18
Rb: 0.2217 0.0660 0.7455 (multiplicity 4)  6 Cl 3.32-3.61
Pm: 0.5000 0.0000 0.5000 (multiplicity 2)  6 Cl 2.73-2.74
Cl: 0.1676 0.1860 0.4485 (multiplicity 4)  1 Pm 2.73
Cl: 0.2562 0.7252 0.4347 (multiplicity 4)  1 Pm 2.74
Cl: 0.3812 0.0439 0.2682 (multiplicity 4)  1 Pm 2.73

(13)
Computed, not measured: a geometry-optimized Ta2Co2Sn structure at the PBE-GGA level of DFT.

Values from the calculation:
**Formation energy**: 0.3 eV per formula unit
**M_tot**: 0.00 μB/atom
**Electronic total energy**: -83.18 eV/cell
**Crystal system**: tetragonal

Lattice parameters (Å, degrees): 4.1624 4.1624 9.8753 90.00 90.00 90.00
Closest atoms and distances in Å follow each position.
Space group I4/mmm (No. 139)
Inequivalent atoms, fractional coordinates:
Ta: 0.0000 0.5000 0.2500 (multiplicity 4)  4 Co 2.48
Co: 0.0000 0.0000 0.1136 (multiplicity 4)  1 Co 2.24, 4 Ta 2.48
Sn: 0.0000 0.0000 0.5000 (multiplicity 2)  8 Co 3.15, 8 Ta 3.23

(14)
Computed, not measured: a geometry-optimized BaMn3Si structure at the PBE-GGA level of DFT.

Values from the calculation:
**M_tot**: 2.29 μB/atom
**Electronic total energy**: -23.54 eV/cell
**E_form (uncorrected)**: 2263 meV/atom
**Crystal system**: cubic
**Offset from the most stable computed form**: 1.769 eV/atom

Lattice parameters (Å, degrees): 5.1889 5.1889 5.1889 90.00 90.00 90.00
Closest atoms and distances in Å follow each position.
Space group Pm-3m (No. 221)
Inequivalent atoms, fractional coordinates:
Ba: 0.0000 0.0000 0.0000 (multiplicity 1)  6 Mn 2.59
Mn: 0.0000 0.0000 0.5000 (multiplicity 3)  2 Ba 2.59
Si: 0.5000 0.5000 0.5000 (multiplicity 1)  12 Mn 3.67